Computed, not measured: Ca2CuNi2 after structural relaxation at the PBE level of DFT. Values from VASP.

Quantum ESPRESSO input file:
```
&SYSTEM
  ibrav = 0, nat = 10, ntyp = 3
/
ATOMIC_SPECIES
Ca 40.08 Ca.upf
Ni 58.69 Ni.upf
Cu 63.55 Cu.upf
ATOMIC_POSITIONS crystal
Ca 0.680 0.820 0.500
Ca 0.820 0.320 0.500
Ca 0.320 0.180 0.500
Ni 0.126 0.374 0.000
Ni 0.874 0.626 0.000
Cu 0.500 0.500 0.000
Ca 0.180 0.680 0.500
Cu 0.000 0.000 0.000
Ni 0.374 0.874 0.000
Ni 0.626 0.126 0.000
CELL_PARAMETERS angstrom
6.626 0.000 0.000
0.000 6.626 0.000
0.000 0.000 4.274
```

Values from the calculation:
Its total energy is -3.977 eV per atom. Its crystal system is tetragonal. For the density, the calculation gives 4.62 Mg/m³. As for the space group: P4/mbm (127). Its density of states at the Fermi level is 6.449 states/eV per cell.